No. 1
# CrHPd3

A relaxed structure of CrHPd3 (PBE, the Alexandria database).

Unit cell a=4.573 b=5.621 c=4.900 alpha=90.00 beta=90.53 gamma=90.00
Fractional coordinates of all 10 atoms:
Cr 0.241 0.250 0.339
Cr 0.759 0.750 0.661
H 0.467 0.750 0.998
H 0.533 0.250 0.002
Pd 0.248 0.002 0.828
Pd 0.248 0.498 0.828
Pd 0.249 0.750 0.340
Pd 0.751 0.250 0.660
Pd 0.752 0.502 0.172
Pd 0.752 0.998 0.172

Summary:
Its energy above the most stable polymorph in this dataset is 0.0471 eV per atom.

***

No. 2
# Pr6Mg2Ir

A relaxed structure of Pr6Mg2Ir (PBE, the Alexandria database).

Unit cell a=7.236 b=7.359 c=13.290 alpha=90.00 beta=121.27 gamma=90.00
Fractional coordinates of all 18 atoms:
Pr 0.171 0.177 0.473
Pr 0.171 0.323 0.973
Pr 0.300 0.700 0.473
Pr 0.300 0.800 0.973
Pr 0.325 0.531 0.745
Pr 0.325 0.969 0.245
Pr 0.675 0.031 0.755
Pr 0.675 0.469 0.255
Pr 0.700 0.200 0.027
Pr 0.700 0.300 0.527
Pr 0.829 0.677 0.027
Pr 0.829 0.823 0.527
Mg 0.191 0.082 0.748
Mg 0.191 0.418 0.248
Mg 0.809 0.582 0.752
Mg 0.809 0.918 0.252
Ir 0.000 0.000 0.000
Ir 0.000 0.500 0.500

Summary:
Its formation energy is -0.1035 eV/atom.

***

No. 3
# NaGe4P3O12

A relaxed structure of NaGe4P3O12 (PBE, the Alexandria database).

Unit cell a=9.789 b=9.789 c=9.789 alpha=59.34 beta=59.34 gamma=59.34
Fractional coordinates of all 40 atoms:
Na 0.000 0.000 0.000
Na 0.500 0.500 0.500
Ge 0.302 0.942 0.420
Ge 0.359 0.359 0.359
Ge 0.420 0.302 0.942
Ge 0.442 0.802 0.920
Ge 0.802 0.920 0.442
Ge 0.859 0.859 0.859
Ge 0.920 0.442 0.802
Ge 0.942 0.420 0.302
P 0.215 0.759 0.306
P 0.259 0.715 0.806
P 0.306 0.215 0.759
P 0.715 0.806 0.259
P 0.759 0.306 0.215
P 0.806 0.259 0.715
O 0.039 0.865 0.396
O 0.069 0.742 0.909
O 0.123 0.233 0.802
O 0.233 0.802 0.123
O 0.242 0.569 0.409
O 0.301 0.352 0.801
O 0.301 0.852 0.801
O 0.302 0.733 0.623
O 0.352 0.801 0.301
O 0.365 0.539 0.896
O 0.396 0.039 0.865
O 0.409 0.242 0.569
O 0.539 0.896 0.365
O 0.569 0.409 0.242
O 0.623 0.302 0.733
O 0.733 0.623 0.302
O 0.742 0.909 0.069
O 0.801 0.301 0.352
O 0.801 0.301 0.852
O 0.802 0.123 0.233
O 0.852 0.801 0.301
O 0.865 0.396 0.039
O 0.896 0.365 0.539
O 0.909 0.069 0.742

Summary:
The uncorrected formation energy comes out at -1.87 eV/atom.

***

No. 4
# Y2FeAgH

A relaxed structure of Y2FeAgH (PBE, the Alexandria database).

Unit cell a=4.970 b=4.970 c=3.588 alpha=90.00 beta=90.00 gamma=90.00
Fractional coordinates of all 5 atoms:
Y 0.000 0.500 0.000
Y 0.500 0.000 0.000
Fe 0.000 0.000 0.500
Ag 0.500 0.500 0.500
H 0.000 0.000 0.000

Summary:
The total energy is -5.708 eV/atom.